Entry 1:
VPd3Au2 after structural relaxation. Source: the Alexandria database, functional PBE.

The structure in POSCAR format:
```
VPd3Au2
1.0
2.0064 -6.0737 0.0000
2.0064 6.0737 0.0000
0.0000 0.0000 7.8534
V Pd Au
2 6 4
Cartesian
2.0064 4.0465 0.0000 V
2.0064 -4.0465 0.0000 V
0.0000 0.0000 1.8900 Pd
0.0000 0.0000 5.9635 Pd
2.0064 2.0649 1.7970 Pd
2.0064 2.0649 6.0564 Pd
2.0064 -2.0649 1.7970 Pd
2.0064 -2.0649 6.0564 Pd
2.0064 4.0368 3.9267 Au
2.0064 0.0000 0.0000 Au
2.0064 0.0000 3.9267 Au
2.0064 -4.0368 3.9267 Au
```

Computed properties:
Volume: 191.4 Å³/cell
Energy: -0.395 Ry/atom
Energy relative to the lowest polymorph listed for this composition: 0.000 eV per atom
D(E_F): 8.581 states/eV per cell

---

Entry 2:
Li2GeAu after structural relaxation. Source: the Alexandria database, functional PBE.

The structure in POSCAR format:
```
Li2GeAu
1.0
0.0000 3.1282 3.1282
3.1282 0.0000 3.1282
3.1282 3.1282 0.0000
Li Ge Au
2 1 1
Cartesian
0.0000 0.0000 0.0000 Li
1.5641 1.5641 1.5641 Li
3.1282 3.1282 3.1282 Ge
4.6923 4.6923 4.6923 Au
```

Computed properties:
Volume: 61.2 Å³/cell
Energy: -0.251 Ry/atom
D(E_F): 2.446 states/eV per cell

---

Entry 3:
CdFeCu2 after structural relaxation. Source: the Alexandria database, functional PBE.

The structure in POSCAR format:
```
CdFeCu2
1.0
2.7832 0.0000 0.0000
0.0000 2.7832 0.0000
0.0000 0.0000 7.3283
Cd Fe Cu
1 1 2
Cartesian
0.0000 0.0000 0.0000 Cd
0.0000 0.0000 3.6642 Fe
1.3916 1.3916 2.0370 Cu
1.3916 1.3916 5.2913 Cu
```

Computed properties:
Volume: 56.8 Å³/cell
Energy: -0.310 Ry/atom
D(E_F): 2.083 states/eV per cell

---

Entry 4:
LiPrEuTc after structural relaxation. Source: the Alexandria database, functional PBE.

The structure in POSCAR format:
```
LiPrEuTc
1.0
0.0000 3.6060 3.6060
3.6060 0.0000 3.6060
3.6060 3.6060 0.0000
Li Pr Eu Tc
1 1 1 1
Cartesian
0.0000 0.0000 0.0000 Li
1.8030 1.8030 1.8030 Pr
5.4090 5.4090 5.4090 Eu
3.6060 3.6060 3.6060 Tc
```

Computed properties:
Volume: 93.8 Å³/cell
Energy: -0.483 Ry/atom
D(E_F): 8.144 states/eV per cell

---

| no. | energy of formation (meV per atom) |
| --- | --- |
| 1 | -169 |
| 2 | -482 |
| 3 | 176 |
| 4 | 257 |